Record 1
A relaxed CeSm6Ho3 crystal, computed with PBE-GGA.

Values from the calculation:
Symmetry   No. 11
Relative energy among the computed polymorphs   0 meV per atom
Formation energy   0.09 eV per atom

Cell: 13.150 3.528 14.454 Å, 90.00 100.55 90.00°
Sites, in units of the cell vectors:
Ce (0.035, 0.250, 0.221)
Ce (0.965, 0.750, 0.779)
Sm (0.124, 0.250, 0.987)
Sm (0.191, 0.750, 0.422)
Sm (0.219, 0.750, 0.788)
Sm (0.271, 0.750, 0.203)
Sm (0.344, 0.250, 0.621)
Sm (0.500, 0.250, 0.190)
Sm (0.500, 0.750, 0.810)
Sm (0.656, 0.750, 0.379)
Sm (0.729, 0.250, 0.797)
Sm (0.781, 0.250, 0.212)
Sm (0.809, 0.250, 0.578)
Sm (0.876, 0.750, 0.013)
Ho (0.074, 0.250, 0.598)
Ho (0.375, 0.750, 0.998)
Ho (0.423, 0.250, 0.404)
Ho (0.577, 0.750, 0.596)
Ho (0.625, 0.250, 0.002)
Ho (0.926, 0.750, 0.402)

Record 2
A relaxed CsNi2SbAs crystal, computed with PBE-GGA.

Values from the calculation:
Symmetry   No. 11
Raw formation energy   -27.1 kJ/mol of atoms

Cell: 7.974 4.178 8.341 Å, 90.00 101.85 90.00°
Sites, in units of the cell vectors:
Cs (0.060, 0.250, 0.266)
Cs (0.940, 0.750, 0.734)
Ni (0.471, 0.250, 0.104)
Ni (0.486, 0.750, 0.310)
Ni (0.514, 0.250, 0.690)
Ni (0.529, 0.750, 0.896)
Sb (0.372, 0.750, 0.578)
Sb (0.628, 0.250, 0.422)
As (0.322, 0.750, 0.054)
As (0.678, 0.250, 0.946)

Record 3
A relaxed CeErPd crystal, computed with PBE-GGA.

Values from the calculation:
Symmetry   No. 63
Relative energy among the computed polymorphs   0 meV per atom
Formation energy   -0.49 eV per atom

Cell: 5.104 11.768 4.818 Å, 90.00 90.00 90.00°
Sites, in units of the cell vectors:
Ce (0.000, 0.079, 0.250)
Ce (0.000, 0.921, 0.750)
Ce (0.500, 0.421, 0.750)
Ce (0.500, 0.579, 0.250)
Er (0.000, 0.380, 0.250)
Er (0.000, 0.620, 0.750)
Er (0.500, 0.120, 0.750)
Er (0.500, 0.880, 0.250)
Pd (0.000, 0.236, 0.750)
Pd (0.000, 0.764, 0.250)
Pd (0.500, 0.264, 0.250)
Pd (0.500, 0.736, 0.750)

Record 4
A relaxed La5Pr2DySc crystal, computed with PBE-GGA.

Values from the calculation:
Symmetry   No. 140
Formation energy   0.27 eV per atom

Cell: 10.669 10.669 10.669 Å, 132.92 132.92 68.79°
Sites, in units of the cell vectors:
La (0.000, 0.000, 0.000)
La (0.076, 0.576, 0.943)
La (0.133, 0.076, 0.500)
La (0.367, 0.867, 0.943)
La (0.424, 0.367, 0.500)
La (0.500, 0.500, 0.000)
La (0.576, 0.633, 0.500)
La (0.633, 0.133, 0.057)
La (0.867, 0.924, 0.500)
La (0.924, 0.424, 0.057)
Pr (0.127, 0.373, 0.500)
Pr (0.373, 0.873, 0.247)
Pr (0.627, 0.127, 0.753)
Pr (0.873, 0.627, 0.500)
Dy (0.250, 0.250, 0.000)
Dy (0.750, 0.750, 0.000)
Sc (0.250, 0.750, 0.500)
Sc (0.750, 0.250, 0.500)

Record 5
A relaxed Ho4H2S5 crystal, computed with PBE-GGA.

Values from the calculation:
Calculated total energy   -5.7235 eV/atom
Symmetry   No. 12

Cell: 8.204 8.204 7.383 Å, 100.51 100.51 27.89°
Sites, in units of the cell vectors:
Ho (0.017, 0.017, 0.259)
Ho (0.289, 0.289, 0.777)
Ho (0.711, 0.711, 0.223)
Ho (0.983, 0.983, 0.741)
H (0.435, 0.435, 0.824)
H (0.565, 0.565, 0.176)
S (0.145, 0.145, 0.962)
S (0.173, 0.173, 0.438)
S (0.500, 0.500, 0.500)
S (0.827, 0.827, 0.562)
S (0.855, 0.855, 0.038)

Record 6
A relaxed IrRu3S crystal, computed with PBE-GGA.

Values from the calculation:
Symmetry   No. 221
Raw formation energy   188.7 kJ/mol of atoms
Relative energy among the computed polymorphs   1188 meV per atom

Cell: 4.718 4.718 4.718 Å, 90.00 90.00 90.00°
Sites, in units of the cell vectors:
Ir (0.000, 0.000, 0.000)
Ru (0.000, 0.000, 0.500)
Ru (0.000, 0.500, 0.000)
Ru (0.500, 0.000, 0.000)
S (0.500, 0.500, 0.500)

Record 7
A relaxed HfAl2AsRu crystal, computed with PBE-GGA.

Values from the calculation:
Symmetry   No. 123
Formation energy   0.63 eV per atom

Cell: 4.747 4.747 4.482 Å, 90.00 90.00 90.00°
Sites, in units of the cell vectors:
Hf (0.000, 0.000, 0.000)
Al (0.000, 0.500, 0.500)
Al (0.500, 0.000, 0.500)
As (0.500, 0.500, 0.500)
Ru (0.500, 0.500, 0.000)

Record 8
A relaxed SmGdFePd crystal, computed with PBE-GGA.

Values from the calculation:
Symmetry   No. 216
Formation energy   -0.25 eV per atom

Cell: 6.997 6.997 6.997 Å, 90.00 90.00 90.00°
Sites, in units of the cell vectors:
Sm (0.000, 0.000, 0.000)
Sm (0.000, 0.500, 0.500)
Sm (0.500, 0.000, 0.500)
Sm (0.500, 0.500, 0.000)
Gd (0.000, 0.000, 0.500)
Gd (0.000, 0.500, 0.000)
Gd (0.500, 0.000, 0.000)
Gd (0.500, 0.500, 0.500)
Fe (0.250, 0.250, 0.250)
Fe (0.250, 0.750, 0.750)
Fe (0.750, 0.250, 0.750)
Fe (0.750, 0.750, 0.250)
Pd (0.250, 0.250, 0.750)
Pd (0.250, 0.750, 0.250)
Pd (0.750, 0.250, 0.250)
Pd (0.750, 0.750, 0.750)

Record 9
A relaxed CdSiCl3 crystal, computed with PBE-GGA.

Values from the calculation:
Symmetry   No. 221
Raw formation energy   -37.6 kJ/mol of atoms
Relative energy among the computed polymorphs   0 meV per atom

Cell: 4.996 4.996 4.996 Å, 90.00 90.00 90.00°
Sites, in units of the cell vectors:
Cd (0.000, 0.000, 0.000)
Si (0.500, 0.500, 0.500)
Cl (0.000, 0.500, 0.500)
Cl (0.500, 0.000, 0.500)
Cl (0.500, 0.500, 0.000)

Record 10
A relaxed Pm5PrMg3 crystal, computed with PBE-GGA.

Values from the calculation:
Symmetry   No. 193
Formation energy   0.01 eV per atom

Cell: 9.617 9.617 7.081 Å, 90.00 90.00 120.00°
Sites, in units of the cell vectors:
Pm (0.000, 0.333, 0.250)
Pm (0.000, 0.667, 0.750)
Pm (0.333, 0.000, 0.250)
Pm (0.333, 0.333, 0.750)
Pm (0.333, 0.667, 0.000)
Pm (0.333, 0.667, 0.500)
Pm (0.667, 0.000, 0.750)
Pm (0.667, 0.333, 0.000)
Pm (0.667, 0.333, 0.500)
Pm (0.667, 0.667, 0.250)
Pr (0.000, 0.000, 0.000)
Pr (0.000, 0.000, 0.500)
Mg (0.000, 0.335, 0.750)
Mg (0.000, 0.665, 0.250)
Mg (0.335, 0.000, 0.750)
Mg (0.335, 0.335, 0.250)
Mg (0.665, 0.000, 0.250)
Mg (0.665, 0.665, 0.750)

Record 11
A relaxed PrThZnRh crystal, computed with PBE-GGA.

Values from the calculation:
Symmetry   No. 216
Formation energy   -0.41 eV per atom

Cell: 7.247 7.247 7.247 Å, 90.00 90.00 90.00°
Sites, in units of the cell vectors:
Pr (0.000, 0.000, 0.000)
Pr (0.000, 0.500, 0.500)
Pr (0.500, 0.000, 0.500)
Pr (0.500, 0.500, 0.000)
Th (0.000, 0.000, 0.500)
Th (0.000, 0.500, 0.000)
Th (0.500, 0.000, 0.000)
Th (0.500, 0.500, 0.500)
Zn (0.250, 0.250, 0.250)
Zn (0.250, 0.750, 0.750)
Zn (0.750, 0.250, 0.750)
Zn (0.750, 0.750, 0.250)
Rh (0.250, 0.250, 0.750)
Rh (0.250, 0.750, 0.250)
Rh (0.750, 0.250, 0.250)
Rh (0.750, 0.750, 0.750)

Record 12
A relaxed Ti2InPt3 crystal, computed with PBE-GGA.

Values from the calculation:
Symmetry   No. 74
Formation energy   -0.73 eV per atom

Cell: 7.606 7.606 7.606 Å, 148.84 118.42 70.63°
Sites, in units of the cell vectors:
Ti (0.260, 0.010, 0.250)
Ti (0.419, 0.669, 0.750)
Ti (0.581, 0.331, 0.250)
Ti (0.740, 0.990, 0.750)
In (0.088, 0.338, 0.750)
In (0.912, 0.662, 0.250)
Pt (0.000, 0.500, 0.500)
Pt (0.176, 0.163, 0.013)
Pt (0.349, 0.837, 0.513)
Pt (0.500, 0.500, 0.000)
Pt (0.651, 0.163, 0.487)
Pt (0.824, 0.837, 0.987)

Record 13
A relaxed Ba2AcErSe4 crystal, computed with PBE-GGA.

Values from the calculation:
Symmetry   No. 10
Raw formation energy   -181.4 kJ/mol of atoms

Cell: 7.673 4.421 7.867 Å, 90.00 108.81 90.00°
Sites, in units of the cell vectors:
Ba (0.000, 0.000, 0.000)
Ba (0.500, 0.500, 0.000)
Ac (0.000, 0.500, 0.500)
Er (0.500, 0.000, 0.500)
Se (0.260, 0.000, 0.724)
Se (0.277, 0.500, 0.285)
Se (0.723, 0.500, 0.715)
Se (0.740, 0.000, 0.276)

Record 14
A relaxed KCeTe2 crystal, computed with PBE-GGA.

Values from the calculation:
Symmetry   No. 123
Raw formation energy   -118.0 kJ/mol of atoms

Cell: 3.961 3.961 8.512 Å, 90.00 90.00 90.00°
Sites, in units of the cell vectors:
K (0.000, 0.000, 0.000)
Ce (0.000, 0.000, 0.500)
Te (0.500, 0.500, 0.286)
Te (0.500, 0.500, 0.714)

Record 15
A relaxed CdNi3N crystal, computed with PBE-GGA.

Values from the calculation:
Symmetry   No. 12
Raw formation energy   20.4 kJ/mol of atoms
Relative energy among the computed polymorphs   276 meV per atom

Cell: 7.707 7.707 6.643 Å, 98.70 98.70 20.70°
Sites, in units of the cell vectors:
Cd (0.115, 0.115, 0.284)
Cd (0.885, 0.885, 0.716)
Ni (0.054, 0.054, 0.660)
Ni (0.181, 0.181, 0.937)
Ni (0.293, 0.293, 0.385)
Ni (0.707, 0.707, 0.615)
Ni (0.819, 0.819, 0.063)
Ni (0.946, 0.946, 0.340)
N (0.376, 0.376, 0.214)
N (0.624, 0.624, 0.786)

Record 16
A relaxed LaMo2Au crystal, computed with PBE-GGA.

Values from the calculation:
Symmetry   No. 123
Relative energy among the computed polymorphs   419 meV per atom
Formation energy   0.51 eV per atom

Cell: 4.113 4.113 4.827 Å, 90.00 90.00 90.00°
Sites, in units of the cell vectors:
La (0.000, 0.000, 0.000)
Mo (0.000, 0.500, 0.500)
Mo (0.500, 0.000, 0.500)
Au (0.500, 0.500, 0.000)

Record 17
A relaxed GdZr2Co crystal, computed with PBE-GGA.

Values from the calculation:
Symmetry   No. 123
Relative energy among the computed polymorphs   0 meV per atom
Formation energy   -0.01 eV per atom

Cell: 3.269 3.269 7.981 Å, 90.00 90.00 90.00°
Sites, in units of the cell vectors:
Gd (0.000, 0.000, 0.000)
Zr (0.500, 0.500, 0.308)
Zr (0.500, 0.500, 0.692)
Co (0.000, 0.000, 0.500)

Record 18
A relaxed BaSrCaAu2 crystal, computed with PBE-GGA.

Values from the calculation:
Symmetry   No. 12
Formation energy   -0.64 eV per atom

Cell: 8.510 8.510 12.064 Å, 128.10 128.10 33.04°
Sites, in units of the cell vectors:
Ba (0.046, 0.046, 0.226)
Ba (0.954, 0.954, 0.774)
Sr (0.264, 0.264, 0.871)
Sr (0.736, 0.736, 0.129)
Ca (0.373, 0.373, 0.457)
Ca (0.627, 0.627, 0.543)
Au (0.259, 0.259, 0.592)
Au (0.402, 0.402, 0.230)
Au (0.598, 0.598, 0.770)
Au (0.741, 0.741, 0.408)

Record 19
A relaxed TcHgGeO6 crystal, computed with PBE-GGA.

Values from the calculation:
Symmetry   No. 149
Raw formation energy   -106.1 kJ/mol of atoms

Cell: 5.160 5.160 4.952 Å, 90.00 90.00 120.00°
Sites, in units of the cell vectors:
Tc (0.000, 0.000, 0.000)
Hg (0.667, 0.333, 0.500)
Ge (0.333, 0.667, 0.000)
O (0.048, 0.335, 0.214)
O (0.048, 0.713, 0.786)
O (0.287, 0.335, 0.786)
O (0.287, 0.952, 0.214)
O (0.665, 0.713, 0.214)
O (0.665, 0.952, 0.786)